No. 1
Material: YZr4Os5
Method: DFT, GGA-PBE
State: relaxed

Properties
The theoretical density comes out at 12.8 g/cm3. As for the space group: P4/mmm (123). As for the total magnetization: 0.00 μB per atom.

Unit cell a=3.3007 b=3.3007 c=16.7004 alpha=90.00 beta=90.00 gamma=90.00
Closest atoms and distances in Å follow each position.
Sites, in units of the cell vectors:
Os: 0.5000 0.5000 0.1121  4 Zr 2.78, 4 Y 2.99
Zr: 0.0000 0.0000 0.5989  8 Os 2.83-2.86
Zr: 0.0000 0.0000 0.7970  8 Os 2.78-2.89
Os: 0.5000 0.5000 0.6948  8 Zr 2.83-2.89
Os: 0.5000 0.5000 0.8879  4 Zr 2.78, 4 Y 2.99
Os: 0.5000 0.5000 0.3052  8 Zr 2.83-2.89
Zr: 0.0000 0.0000 0.4011  8 Os 2.83-2.86
Zr: 0.0000 0.0000 0.2030  8 Os 2.78-2.89
Y: 0.0000 0.0000 0.0000  8 Os 2.99, 4 Y 3.30
Os: 0.5000 0.5000 0.5000  8 Zr 2.86

***

No. 2
Material: Y2Zr2Os
Method: DFT, GGA-PBE
State: relaxed

Properties
The theoretical density comes out at 7.3 g/cm3. As for the space group: P4/mbm (127). As for the total magnetization: 0.00 μB per atom.

Unit cell a=6.8393 b=6.8393 c=5.3298 alpha=90.00 beta=90.00 gamma=90.00
Closest atoms and distances in Å follow each position.
Sites, in units of the cell vectors:
Zr: 0.8495 0.6505 0.0000  2 Os 2.60, 1 Zr 2.91
Y: 0.1710 0.6710 0.5000  6 Zr 3.18-3.46, 1 Y 3.31
Zr: 0.6505 0.1505 0.0000  2 Os 2.60, 1 Zr 2.91
Y: 0.8290 0.3290 0.5000  6 Zr 3.18-3.46, 1 Y 3.31
Os: 0.0000 0.0000 0.0000  4 Zr 2.60
Zr: 0.1505 0.3495 0.0000  2 Os 2.60, 1 Zr 2.91
Y: 0.6710 0.8290 0.5000  6 Zr 3.18-3.46, 1 Y 3.31
Y: 0.3290 0.1710 0.5000  6 Zr 3.18-3.46, 1 Y 3.31
Zr: 0.3495 0.8495 0.0000  2 Os 2.60, 1 Zr 2.91
Os: 0.5000 0.5000 0.0000  4 Zr 2.60

***

No. 3
Material: YZrOs2
Method: DFT, GGA-PBE
State: relaxed

Properties
The theoretical density comes out at 12.1 g/cm3. As for the space group: R-3m (166). As for the total magnetization: 0.00 μB per atom.

Unit cell a=8.7776 b=8.7776 c=8.7776 alpha=21.15 beta=21.15 gamma=21.15
Closest atoms and distances in Å follow each position.
Sites, in units of the cell vectors:
Os: 0.4959 0.4959 0.4959  3 Zr 2.76, 3 Y 2.92
Zr: 0.7500 0.7500 0.7500  6 Os 2.76
Y: 0.2500 0.2500 0.2500  6 Os 2.92, 6 Y 3.22
Os: 0.0041 0.0041 0.0041  3 Zr 2.76, 3 Y 2.92

***

No. 4
Material: Y2ZrOs
Method: DFT, GGA-PBE
State: relaxed

Properties
The theoretical density comes out at 8.3 g/cm3. As for the space group: P2/m (10). As for the total magnetization: 0.00 μB per atom.

Unit cell a=4.6588 b=3.3586 c=6.1983 alpha=71.97 beta=90.00 gamma=90.00
Closest atoms and distances in Å follow each position.
Sites, in units of the cell vectors:
Os: 0.5000 0.7500 0.7500  4 Y 2.88, 2 Zr 3.03
Y: 0.0000 0.9237 0.9787  2 Os 2.88, 2 Y 3.00-3.20
Zr: 0.5000 0.2500 0.2500  2 Os 3.03, 8 Y 3.25-3.32, 2 Zr 3.36
Y: 0.0000 0.5763 0.5213  2 Os 2.88, 2 Y 3.00-3.20

***

No. 5
Material: YZrOs3
Method: DFT, GGA-PBE
State: relaxed

Properties
The theoretical density comes out at 10.9 g/cm3. As for the space group: Pm-3m (221). As for the total magnetization: 0.00 μB per atom.

Unit cell a=4.8492 b=4.8492 c=4.8492 alpha=90.00 beta=90.00 gamma=90.00
Closest atoms and distances in Å follow each position.
Sites, in units of the cell vectors:
Os: 0.5000 0.0000 0.0000  2 Zr 2.42
Y: 0.5000 0.5000 0.5000  12 Os 3.43
Os: 0.0000 0.5000 0.0000  2 Zr 2.42
Zr: 0.0000 0.0000 0.0000  6 Os 2.42
Os: 0.0000 0.0000 0.5000  2 Zr 2.42

***

No. 6
Material: Y2ZrOs
Method: DFT, GGA-PBE
State: relaxed

Properties
The theoretical density comes out at 8.5 g/cm3. As for the space group: I4/mmm (139). As for the total magnetization: 0.00 μB per atom.

Unit cell a=5.8209 b=5.8209 c=5.8209 alpha=137.24 beta=137.24 gamma=62.07
Closest atoms and distances in Å follow each position.
Sites, in units of the cell vectors:
Y: 0.5000 0.5000 0.0000  4 Y 3.00, 4 Zr 3.27, 4 Os 3.27
Os: 0.7500 0.2500 0.5000  4 Zr 3.00, 8 Y 3.27
Y: 0.0000 0.0000 0.0000  4 Y 3.00, 4 Zr 3.27, 4 Os 3.27
Zr: 0.2500 0.7500 0.5000  4 Os 3.00, 8 Y 3.27

***

Total DFT energy (no corrections) / eV/atom: -10.134 -8.286 -9.180 -8.026 -8.276 -7.970